Density functional theory data (PBE) for a relaxed Tb4Al2Sn crystal.

```
data_Tb4Al2Sn
_symmetry_space_group_name_H-M 'R -3 m'
_symmetry_Int_Tables_number 166
_symmetry_space_group_name_Hall '-R 3 2"'
_cell_length_a 4.9727
_cell_length_b 4.9727
_cell_length_c 28.8548
_cell_angle_alpha 90.00
_cell_angle_beta 90.00
_cell_angle_gamma 120.00
loop_
_atom_site_label
_atom_site_type_symbol
_atom_site_fract_x
_atom_site_fract_y
_atom_site_fract_z
Tb1 Tb 0.0000 0.0000 0.1181
Tb2 Tb 0.0000 0.0000 0.2984
Al1 Al 0.0000 0.0000 0.4037
Sn1 Sn 0.0000 0.0000 0.5000
```

Density functional theory data (PBE) for a relaxed TbTmAlSn crystal.

```
data_TbTmAlSn
_symmetry_space_group_name_H-M 'F -4 3 m'
_symmetry_Int_Tables_number 216
_symmetry_space_group_name_Hall 'F -4 2 3'
_cell_length_a 7.369
_cell_length_b 7.369
_cell_length_c 7.369
_cell_angle_alpha 90.00
_cell_angle_beta 90.00
_cell_angle_gamma 90.00
loop_
_atom_site_label
_atom_site_type_symbol
_atom_site_fract_x
_atom_site_fract_y
_atom_site_fract_z
Tb1 Tb 0.000 0.000 0.000
Tm1 Tm 0.000 0.000 0.500
Al1 Al 0.250 0.250 0.750
Sn1 Sn 0.250 0.250 0.250
```

Density functional theory data (PBE) for a relaxed Al2Tc2Sn crystal.

Output
E above lowest polymorph, eV per atom: 0.000

```
data_Al2Tc2Sn
_symmetry_space_group_name_H-M 'P 4/m b m'
_symmetry_Int_Tables_number 127
_symmetry_space_group_name_Hall '-P 4 2ab'
_cell_length_a 6.963
_cell_length_b 6.963
_cell_length_c 3.402
_cell_angle_alpha 90.00
_cell_angle_beta 90.00
_cell_angle_gamma 90.00
loop_
_atom_site_label
_atom_site_type_symbol
_atom_site_fract_x
_atom_site_fract_y
_atom_site_fract_z
Al1 Al 0.140 0.360 0.000
Tc1 Tc 0.154 0.654 0.500
Sn1 Sn 0.000 0.000 0.500
```

no.,magnetic moment (μB/f.u.),E_tot (eV/cell)
1,0.0,-94.08
2,0.0,-74.28
3,0.0,-66.05